No. 1
Material: TcSnNO
Method: DFT, PBE
State: relaxed

Lattice parameters (Å, degrees): 5.701 7.699 5.496 90.00 90.00 90.00
Fractional positions:
Tc1 0.029 0.057 0.000
Tc2 0.471 0.057 0.500
Tc3 0.529 0.943 0.000
Tc4 0.971 0.943 0.500
Sn1 0.039 0.669 0.947
Sn2 0.461 0.669 0.447
Sn3 0.539 0.331 0.947
Sn4 0.961 0.331 0.447
N1 0.210 0.087 0.718
N2 0.290 0.087 0.218
N3 0.710 0.913 0.718
N4 0.790 0.913 0.218
O1 0.103 0.685 0.559
O2 0.397 0.685 0.059
O3 0.603 0.315 0.559
O4 0.897 0.315 0.059

- SG = Pca2_1 (29)
- magnetic moment (μB/f.u.) = 0.00
- VASP energy (eV per atom) = -7.205

No. 2
Material: DyIrNO
Method: DFT, PBE
State: relaxed

Lattice parameters (Å, degrees): 3.813 5.693 4.881 90.00 90.00 90.00
Fractional positions:
Dy1 0.000 0.226 0.000
Dy2 0.000 0.774 0.500
Ir1 0.500 0.355 0.505
Ir2 0.500 0.645 0.005
N1 0.000 0.334 0.488
N2 0.000 0.666 0.988
O1 0.500 0.088 0.796
O2 0.500 0.912 0.296

- SG = Pmc2_1 (26)
- magnetic moment (μB/f.u.) = 0.00
- VASP energy (eV per atom) = -7.863

No. 3
Material: SmPaBe
Method: DFT, PBE
State: relaxed

Lattice parameters (Å, degrees): 4.658 4.658 4.658 60.00 60.00 60.00
Fractional positions:
Sm1 0.000 0.000 0.000
Pa1 0.500 0.500 0.500
Be1 0.750 0.750 0.750

- SG = F-43m (216)
- magnetic moment (μB/f.u.) = 0.00
- VASP energy (eV per atom) = -5.436